A plane-wave DFT calculation with PBEsol was carried out for crystalline Ni5Ge2 at its relaxed geometry.

Properties
DOS(E_F), states/eV per atom: 0.655
Space group: P6_3cm
Mass density, kg/m3: 9169
Magnetization, μB per atom: 0.000
Formation energy from the elements, eV/f.u.: -2.31
E_tot, eV/atom: -6.14
Crystal system: hexagonal
Calculated volume, A^3/atom: 11.4

The structure in POSCAR format:
```
Ni5Ge2
1.0
-2.556 -6.130 0.999
5.885 0.711 -3.158
5.825 -0.685 10.701
Ni Ge
30 12
Direct
0.000 0.000 0.927 Ni
0.000 0.000 0.427 Ni
0.667 0.333 0.069 Ni
0.333 0.667 0.069 Ni
0.333 0.667 0.569 Ni
0.667 0.333 0.569 Ni
0.000 0.276 0.099 Ni
0.724 0.724 0.099 Ni
0.276 0.000 0.099 Ni
0.000 0.724 0.599 Ni
0.276 0.276 0.599 Ni
0.724 0.000 0.599 Ni
0.000 0.627 0.193 Ni
0.373 0.373 0.193 Ni
0.627 0.000 0.193 Ni
0.000 0.373 0.693 Ni
0.627 0.627 0.693 Ni
0.373 0.000 0.693 Ni
0.000 0.307 0.304 Ni
0.693 0.693 0.304 Ni
0.307 0.000 0.304 Ni
0.000 0.693 0.804 Ni
0.307 0.307 0.804 Ni
0.693 0.000 0.804 Ni
0.000 0.631 0.403 Ni
0.369 0.369 0.403 Ni
0.631 0.000 0.403 Ni
0.000 0.369 0.903 Ni
0.631 0.631 0.903 Ni
0.369 0.000 0.903 Ni
0.000 0.000 0.221 Ge
0.000 0.000 0.721 Ge
0.667 0.333 0.280 Ge
0.333 0.667 0.280 Ge
0.333 0.667 0.780 Ge
0.667 0.333 0.780 Ge
0.000 0.670 0.998 Ge
0.330 0.330 0.998 Ge
0.670 0.000 0.998 Ge
0.000 0.330 0.498 Ge
0.670 0.670 0.498 Ge
0.330 0.000 0.498 Ge
```



A plane-wave DFT calculation with PBEsol was carried out for crystalline YBPO2 at its relaxed geometry.

Properties
DOS(E_F), states/eV per atom: 0.875
Space group: P4/mmm
Mass density, kg/m3: 2792
Magnetization, μB per atom: 0.291
ΔE_f (raw), meV per atom: 185
E_tot, eV/atom: -5.84
Crystal system: tetragonal
Calculated volume, A^3/atom: 19.4

The structure in POSCAR format:
```
YBPO2
1.0
4.043 0.000 0.000
0.000 4.043 0.000
0.000 0.000 5.918
Y P B O
1 1 1 2
Direct
0.000 0.000 0.000 Y
0.000 0.000 0.500 P
0.500 0.500 0.500 B
0.000 0.500 0.000 O
0.500 0.000 0.000 O
```